# Li3H12Rh5, optimized geometry, DFT GGA-PBE
# Calculated volume (Å³/atom): 7.6
# Spin magnetization (μB per formula unit): 0.0
# Electronic total energy (eV/cell): -686.2
data_Li3H12Rh5
_cell_length_a 10.667
_cell_length_b 10.667
_cell_length_c 10.667
_cell_angle_alpha 90.00
_cell_angle_beta 90.00
_cell_angle_gamma 90.00
_space_group_name_H-M_alt 'I a -3 d'
_space_group_IT_number 230
_space_group_name_Hall '-I 4bd 2c 3'
loop_
_atom_site_label
_atom_site_type_symbol
_atom_site_fract_x
_atom_site_fract_y
_atom_site_fract_z
Li1 Li 0.000 0.250 0.125
H1 H 0.021 0.066 0.647
Rh1 Rh 0.000 0.000 0.000
Rh2 Rh 0.000 0.250 0.375